Material: ScAg2W
Method: DFT, PBE
State: optimized geometry

Calculated values
offset from the most stable computed form = 0.0 meV/atom

```
data_ScAg2W
_chemical_formula_sum 'Sc1 Ag2 W1'
_cell_length_a 2.853
_cell_length_b 2.853
_cell_length_c 8.859
_cell_angle_alpha 90.00
_cell_angle_beta 90.00
_cell_angle_gamma 90.00
_space_group_name_H-M_alt 'P 4 m m'
_space_group_IT_number 99
loop_
_space_group_symop_operation_xyz
'x,y,z'
'-y,x,z'
'-x,-y,z'
'y,-x,z'
'-x,y,z'
'y,x,z'
'x,-y,z'
'-y,-x,z'
loop_
_atom_site_label
_atom_site_fract_x
_atom_site_fract_y
_atom_site_fract_z
Sc1 0.000 0.000 0.000
Ag1 0.000 0.000 0.489
Ag2 0.500 0.500 0.739
W1 0.500 0.500 0.247
```